VASP calculation (GGA-PBE) on Ti10BSb6 after structural relaxation.

abc: 8.0281 8.0281 5.4642
angles: 90.00 90.00 120.00
Element x y z (fractional)
Ti (0.0000, 0.2333, 0.2393)
Ti (0.0000, 0.7667, 0.7607)
Ti (0.2333, 0.0000, 0.2393)
Ti (0.2333, 0.2333, 0.7607)
Ti (0.3333, 0.6667, 0.0000)
Ti (0.3333, 0.6667, 0.5000)
Ti (0.6667, 0.3333, 0.0000)
Ti (0.6667, 0.3333, 0.5000)
Ti (0.7667, 0.0000, 0.7607)
Ti (0.7667, 0.7667, 0.2393)
B (0.0000, 0.0000, 0.0000)
Sb (0.0000, 0.3936, 0.7461)
Sb (0.0000, 0.6064, 0.2539)
Sb (0.3936, 0.0000, 0.7461)
Sb (0.3936, 0.3936, 0.2539)
Sb (0.6064, 0.0000, 0.2539)
Sb (0.6064, 0.6064, 0.7461)

Properties
Size of the total moment (μB/cell): 0.00
Final energy (eV for the cell shown): -119.919
Uncorrected formation energy (eV/atom): -0.56

VASP calculation (GGA-PBE) on La2CdCoAu after structural relaxation.

abc: 5.1451 5.1451 5.0407
angles: 90.00 90.00 90.00
Element x y z (fractional)
La (0.0000, 0.5000, 0.0000)
La (0.5000, 0.0000, 0.0000)
Cd (0.0000, 0.0000, 0.5000)
Co (0.5000, 0.5000, 0.0000)
Au (0.5000, 0.5000, 0.5000)

Properties
Size of the total moment (μB/cell): 0.00
Final energy (eV for the cell shown): -22.515
ΔE_f (meV per atom): -272.3
Excess energy over the best structure of this formula in the dataset (kJ per mole of atoms): 4.51

VASP calculation (GGA-PBE) on BaSr2W after structural relaxation.

abc: 5.9495 5.9495 5.9495
angles: 120.18 120.18 89.69
Element x y z (fractional)
Ba (0.0000, 0.0000, 0.0000)
Sr (0.2500, 0.7500, 0.5000)
Sr (0.5000, 0.5000, 0.0000)
W (0.7500, 0.2500, 0.5000)

Properties
Size of the total moment (μB/cell): 3.09
Final energy (eV for the cell shown): -13.834
ΔE_f (meV per atom): 1101.5
Excess energy over the best structure of this formula in the dataset (kJ per mole of atoms): 11.87

VASP calculation (GGA-PBE) on BaLiZn2Au2 after structural relaxation.

abc: 4.5836 4.5836 7.4538
angles: 90.00 90.00 120.00
Element x y z (fractional)
Ba (0.0000, 0.0000, 0.0000)
Li (0.0000, 0.0000, 0.5000)
Zn (0.3333, 0.6667, 0.3340)
Zn (0.6667, 0.3333, 0.6660)
Au (0.3333, 0.6667, 0.6933)
Au (0.6667, 0.3333, 0.3067)

Properties
Size of the total moment (μB/cell): 0.00
Final energy (eV for the cell shown): -15.999
ΔE_f (meV per atom): -509.9

VASP calculation (GGA-PBE) on La4Er3Sc after structural relaxation.

abc: 12.6826 12.6826 6.1346
angles: 94.08 94.08 15.55
Element x y z (fractional)
La (0.1020, 0.1020, 0.2184)
La (0.2819, 0.2819, 0.7595)
La (0.7181, 0.7181, 0.2405)
La (0.8980, 0.8980, 0.7816)
Er (0.0000, 0.0000, 0.5000)
Er (0.1411, 0.1411, 0.7261)
Er (0.8589, 0.8589, 0.2739)
Sc (0.5000, 0.5000, 0.0000)

Properties
Size of the total moment (μB/cell): 0.00
Final energy (eV for the cell shown): -37.731
ΔE_f (meV per atom): 249.8

VASP calculation (GGA-PBE) on ZnTc3C after structural relaxation.

abc: 4.5143 4.5143 4.5143
angles: 90.00 90.00 90.00
Element x y z (fractional)
Zn (0.0000, 0.0000, 0.0000)
Tc (0.0000, 0.0000, 0.5000)
Tc (0.0000, 0.5000, 0.0000)
Tc (0.5000, 0.0000, 0.0000)
C (0.5000, 0.5000, 0.5000)

Properties
Size of the total moment (μB/cell): 3.87
Final energy (eV for the cell shown): -26.399
ΔE_f (meV per atom): 3039.4
Excess energy over the best structure of this formula in the dataset (kJ per mole of atoms): 274.14